Model w:
This record from Alexandria via LeMat-Bulk describes a relaxed structure of HgH2S. The functional is PBE-GGA.

a = 5.485 Å, b = 5.485 Å, c = 5.496 Å
α = 60.06°, β = 60.06°, γ = 90.00°
Sites, in units of the cell vectors:
Hg1 0.000 0.000 0.000
Hg2 0.750 0.250 0.500
S1 0.500 0.500 0.000
S2 0.250 0.750 0.500
H1 0.375 0.125 0.250
H2 0.375 0.625 0.250
H3 0.875 0.625 0.750
H4 0.375 0.625 0.750

Calculated volume (Å³/cell): 117.1
Density of states at the Fermi level (states/eV/cell): 0.0

=====

Model x:
This record from Alexandria via LeMat-Bulk describes a relaxed structure of HgH2S. The functional is PBE-GGA.

a = 13.086 Å, b = 11.394 Å, c = 3.930 Å
α = 93.08°, β = 129.35°, γ = 43.34°
Sites, in units of the cell vectors:
H1 0.793 0.725 0.779
H2 0.207 0.275 0.221
H3 0.020 0.659 0.513
H4 0.980 0.341 0.487
Hg1 0.318 0.748 0.889
Hg2 0.682 0.252 0.111
S1 0.869 0.779 0.914
S2 0.131 0.221 0.086

Calculated volume (Å³/cell): 199.2
Density of states at the Fermi level (states/eV/cell): 0.0

=====

Tell me which of them is the least stable. Sure, it is model w.

=====

Model w:
This record from Alexandria via LeMat-Bulk describes a relaxed structure of HgH2S. The functional is PBE-GGA.

a = 4.066 Å, b = 4.066 Å, c = 4.066 Å
α = 60.00°, β = 60.00°, γ = 60.00°
Sites, in units of the cell vectors:
S1 0.000 0.000 0.000
H1 0.250 0.250 0.250
H2 0.750 0.750 0.750
Hg1 0.500 0.500 0.500

Calculated volume (Å³/cell): 47.5
Density of states at the Fermi level (states/eV/cell): 1.6

=====

Model x:
This record from Alexandria via LeMat-Bulk describes a relaxed structure of HgH2S. The functional is PBE-GGA.

a = 3.125 Å, b = 3.125 Å, c = 7.245 Å
α = 77.55°, β = 77.55°, γ = 60.00°
Sites, in units of the cell vectors:
H1 0.145 0.145 0.566
H2 0.855 0.855 0.434
Hg1 0.000 0.000 0.000
S1 0.500 0.500 0.500

Calculated volume (Å³/cell): 59.3
Density of states at the Fermi level (states/eV/cell): 1.4

=====

Tell me which of them is the least stable. Sure, it is model w.

=====

Model w:
This record from Alexandria via LeMat-Bulk describes a relaxed structure of HgSbH2. The functional is PBE-GGA.

a = 6.307 Å, b = 6.307 Å, c = 6.333 Å
α = 60.14°, β = 60.14°, γ = 90.00°
Sites, in units of the cell vectors:
H1 0.375 0.625 0.750
H2 0.375 0.625 0.250
H3 0.875 0.625 0.750
H4 0.375 0.125 0.250
Sb1 0.250 0.750 0.500
Sb2 0.500 0.500 0.000
Hg1 0.000 0.000 0.000
Hg2 0.750 0.250 0.500

Calculated volume (Å³/cell): 178.9
Density of states at the Fermi level (states/eV/cell): 3.4

=====

Model x:
This record from Alexandria via LeMat-Bulk describes a relaxed structure of HgSbH2. The functional is PBE-GGA.

a = 4.332 Å, b = 4.332 Å, c = 4.332 Å
α = 60.00°, β = 60.00°, γ = 60.00°
Sites, in units of the cell vectors:
H1 0.750 0.750 0.750
H2 0.250 0.250 0.250
Hg1 0.500 0.500 0.500
Sb1 0.000 0.000 0.000

Calculated volume (Å³/cell): 57.5
Density of states at the Fermi level (states/eV/cell): 1.9

=====

Tell me which of them is the least stable. Sure, it is model x.

=====

Model w:
This record from Alexandria via LeMat-Bulk describes a relaxed structure of Hg2Sb2H. The functional is PBE-GGA.

a = 4.309 Å, b = 4.309 Å, c = 8.183 Å
α = 74.73°, β = 74.73°, γ = 90.00°
Site moments in Bohr magnetons follow the coordinates.
Sites, in units of the cell vectors:
Hg1 0.410 0.410 0.180  0.01
Hg2 0.590 0.590 0.820  0.01
H1 0.000 0.000 0.000  0.27
Sb1 0.750 0.250 0.500  0.01
Sb2 0.250 0.750 0.500  0.01

Calculated volume (Å³/cell): 141.0
Density of states at the Fermi level (states/eV/cell): 2.3

=====

Model x:
This record from Alexandria via LeMat-Bulk describes a relaxed structure of Hg2Sb2H. The functional is PBE-GGA.

a = 6.233 Å, b = 6.233 Å, c = 6.006 Å
α = 90.00°, β = 90.00°, γ = 90.00°
Sites, in units of the cell vectors:
Sb1 0.250 0.750 0.500
Sb2 0.750 0.750 0.500
Sb3 0.750 0.250 0.500
Sb4 0.250 0.250 0.500
H1 0.500 0.500 0.000
H2 0.000 0.000 0.000
Hg1 0.748 0.248 0.000
Hg2 0.752 0.748 0.000
Hg3 0.252 0.752 0.000
Hg4 0.248 0.252 0.000

Calculated volume (Å³/cell): 233.3
Density of states at the Fermi level (states/eV/cell): 2.9

=====

Tell me which of them is the least stable. Sure, it is model w.